First-principles (PBE-GGA) data for a relaxed Ba2Cu2TeSF2 crystal, as listed in the Open Quantum Materials Database. Values from VASP.

The volume is 20.8 Å³/atom. The total energy is -0.1743 hartree per atom. Its symmetry is P4mm, No. 99.

Structure (Quantum ESPRESSO input):
```
&SYSTEM
  ibrav = 0, nat = 8, ntyp = 5
/
ATOMIC_SPECIES
F 19.00 F.upf
Cu 63.55 Cu.upf
Ba 137.33 Ba.upf
Te 127.60 Te.upf
S 32.06 S.upf
CELL_PARAMETERS angstrom
-3.9489 -0.5230 -1.4315
0.1378 -4.0820 1.1112
-3.3293 2.1718 8.3909
ATOMIC_POSITIONS crystal
F 0.0000 0.5000 0.4889
F 0.5000 0.0000 0.4889
Cu 0.5000 0.0000 0.0209
Cu 0.0000 0.5000 0.0209
Ba 0.5000 0.5000 0.3180
Ba 0.0000 0.0000 0.6576
Te 0.5000 0.5000 0.8486
S 0.0000 0.0000 0.1562
```

First-principles (PBE-GGA) data for a relaxed Ho3TmGe2C2 crystal, as listed in the Open Quantum Materials Database. Values from VASP.

The volume is 20.4 Å³/atom. The total energy is -0.2291 hartree per atom. Its symmetry is P3m1, No. 156.

Structure (Quantum ESPRESSO input):
```
&SYSTEM
  ibrav = 0, nat = 8, ntyp = 4
/
ATOMIC_SPECIES
Ge 72.64 Ge.upf
C 12.01 C.upf
Ho 164.93 Ho.upf
Tm 168.93 Tm.upf
CELL_PARAMETERS angstrom
-2.5399 -1.6694 -1.8557
3.2635 -1.4086 0.2173
-4.0292 -7.4502 12.2171
ATOMIC_POSITIONS crystal
Ge 0.6667 0.3333 0.7514
Ge 0.0000 0.0000 0.2497
C 0.3333 0.6667 0.5003
C 0.3333 0.6667 0.9989
Ho 0.6667 0.3333 0.0895
Ho 0.0000 0.0000 0.5909
Ho 0.6667 0.3333 0.4094
Tm 0.0000 0.0000 0.9099
```

Q: Which of these has the highest total energy?
A: Ba2Cu2TeSF2